Material: CsRb2SnI6
Method: DFT, PBE
State: optimized geometry

a = 9.340 Å, b = 9.340 Å, c = 9.340 Å
α = 60.00°, β = 60.00°, γ = 60.00°
Positions (direct):
Cs1 0.000 0.000 0.000
Rb1 0.250 0.250 0.250
Rb2 0.750 0.750 0.750
Sn1 0.500 0.500 0.500
I1 0.272 0.272 0.728
I2 0.272 0.728 0.272
I3 0.272 0.728 0.728
I4 0.728 0.272 0.272
I5 0.728 0.272 0.728
I6 0.728 0.728 0.272

Formation energy (no corrections)   -0.9554 eV/atom
Volume   576.0 Å³ per cell
M_tot   0.0 μB/f.u.
Fermi-level density of states   10.4 states/eV/cell
Energy   -2.56 eV per atom